A geometry-optimized RbTm2Zr2O7 structure. Source: Alexandria via LeMat-Bulk, functional PBE-GGA.

E_form (uncorrected) = -3514 kJ/mol of formula units
Final energy = -8.1783 eV/atom

Structure (CIF):
```
data_RbTm2Zr2O7
_cell_length_a 4.339
_cell_length_b 4.471
_cell_length_c 18.378
_cell_angle_alpha 90.00
_cell_angle_beta 90.00
_cell_angle_gamma 90.00
_symmetry_space_group_name_H-M 'I m m m'
_symmetry_Int_Tables_number 71
_symmetry_space_group_name_Hall '-I 2 2'
loop_
_atom_site_label
_atom_site_type_symbol
_atom_site_fract_x
_atom_site_fract_y
_atom_site_fract_z
Rb1 Rb 0.000 0.000 0.000
Tm1 Tm 0.000 0.500 0.257
Zr1 Zr 0.000 0.000 0.390
O1 O 0.000 0.000 0.265
O2 O 0.000 0.000 0.500
O3 O 0.000 0.500 0.131
O4 O 0.000 0.500 0.378
```

=====

A geometry-optimized Tb3Er4Tm2 structure. Source: Alexandria via LeMat-Bulk, functional PBE-GGA.

Energy of formation = 0.0203 eV/atom
Energy relative to the lowest polymorph listed for this composition = 0 meV per atom
Final energy = -4.5447 eV/atom

Structure (CIF):
```
data_Tb3Er4Tm2
_cell_length_a 14.904
_cell_length_b 4.961
_cell_length_c 7.855
_cell_angle_alpha 90.00
_cell_angle_beta 108.23
_cell_angle_gamma 90.00
_symmetry_space_group_name_H-M 'C 1 2/m 1'
_symmetry_Int_Tables_number 12
loop_
_symmetry_equiv_pos_as_xyz
'x,y,z'
'-x,-y,-z'
'-x,y,-z'
'x,-y,z'
'x+1/2,y+1/2,z'
'-x+1/2,-y+1/2,-z'
'-x+1/2,y+1/2,-z'
'x+1/2,-y+1/2,z'
loop_
_atom_site_label
_atom_site_type_symbol
_atom_site_fract_x
_atom_site_fract_y
_atom_site_fract_z
Tb1 Tb 0.000 0.000 0.000
Tb2 Tb 0.111 0.000 0.666
Er1 Er 0.167 0.500 0.000
Er2 Er 0.222 0.000 0.333
Tm1 Tm 0.056 0.500 0.333
```

=====

A geometry-optimized VSeS structure. Source: Alexandria via LeMat-Bulk, functional PBE-GGA.

Energy relative to the lowest polymorph listed for this composition = 230 meV per atom
E_form (uncorrected) = -159 kJ/mol of formula units
Final energy = -6.1278 eV/atom

Structure (CIF):
```
data_VSeS
_cell_length_a 10.588
_cell_length_b 4.051
_cell_length_c 5.002
_cell_angle_alpha 90.00
_cell_angle_beta 93.50
_cell_angle_gamma 90.00
_symmetry_space_group_name_H-M 'C 1 2/m 1'
_symmetry_Int_Tables_number 12
loop_
_symmetry_equiv_pos_as_xyz
'x,y,z'
'-x,-y,-z'
'-x,y,-z'
'x,-y,z'
'x+1/2,y+1/2,z'
'-x+1/2,-y+1/2,-z'
'-x+1/2,y+1/2,-z'
'x+1/2,-y+1/2,z'
loop_
_atom_site_label
_atom_site_type_symbol
_atom_site_fract_x
_atom_site_fract_y
_atom_site_fract_z
V1 V 0.226 0.000 0.153
Se1 Se 0.143 0.000 0.647
S1 S 0.100 0.500 0.115
```

=====

A geometry-optimized Cs2CdPd2 structure. Source: Alexandria via LeMat-Bulk, functional PBE-GGA.

Energy of formation = 0.0467 eV/atom
Energy relative to the lowest polymorph listed for this composition = 0 meV per atom
Final energy = -2.5549 eV/atom

Structure (CIF):
```
data_Cs2CdPd2
_cell_length_a 7.301
_cell_length_b 7.301
_cell_length_c 5.765
_cell_angle_alpha 90.00
_cell_angle_beta 90.00
_cell_angle_gamma 90.00
_symmetry_space_group_name_H-M 'P 4/m b m'
_symmetry_Int_Tables_number 127
_symmetry_space_group_name_Hall '-P 4 2ab'
loop_
_atom_site_label
_atom_site_type_symbol
_atom_site_fract_x
_atom_site_fract_y
_atom_site_fract_z
Cs1 Cs 0.181 0.319 0.000
Cd1 Cd 0.000 0.000 0.500
Pd1 Pd 0.132 0.632 0.500
```

=====

A geometry-optimized KNbB2O6 structure. Source: Alexandria via LeMat-Bulk, functional PBE-GGA.

Energy relative to the lowest polymorph listed for this composition = 23 meV per atom
E_form (uncorrected) = -2363 kJ/mol of formula units
Final energy = -7.8764 eV/atom

Structure (CIF):
```
data_KNbB2O6
_cell_length_a 5.1307
_cell_length_b 5.1307
_cell_length_c 17.4423
_cell_angle_alpha 90.00
_cell_angle_beta 90.00
_cell_angle_gamma 120.00
_symmetry_space_group_name_H-M 'R -3'
_symmetry_Int_Tables_number 148
_symmetry_space_group_name_Hall '-R 3'
loop_
_atom_site_label
_atom_site_type_symbol
_atom_site_fract_x
_atom_site_fract_y
_atom_site_fract_z
K1 K 0.0000 0.0000 0.0000
Nb1 Nb 0.0000 0.0000 0.5000
B1 B 0.0000 0.0000 0.2324
O1 O 0.0289 0.4624 0.9002
```

=====

A geometry-optimized Cr4Cd3 structure. Source: Alexandria via LeMat-Bulk, functional PBE-GGA.

Energy of formation = 0.2723 eV/atom
Final energy = -5.6189 eV/atom

Structure (CIF):
```
data_Cr4Cd3
_cell_length_a 3.063
_cell_length_b 3.063
_cell_length_c 24.346
_cell_angle_alpha 90.00
_cell_angle_beta 90.00
_cell_angle_gamma 90.00
_symmetry_space_group_name_H-M 'I 4/m m m'
_symmetry_Int_Tables_number 139
_symmetry_space_group_name_Hall '-I 4 2'
loop_
_atom_site_label
_atom_site_type_symbol
_atom_site_fract_x
_atom_site_fract_y
_atom_site_fract_z
Cr1 Cr 0.000 0.000 0.080
Cr2 Cr 0.000 0.000 0.377
Cd1 Cd 0.000 0.000 0.204
Cd2 Cd 0.000 0.000 0.500
```

=====

A geometry-optimized Cs2ScSBr6 structure. Source: Alexandria via LeMat-Bulk, functional PBE-GGA.

E_form (uncorrected) = -1161 kJ/mol of formula units
Final energy = -3.4232 eV/atom

Structure (CIF):
```
data_Cs2ScSBr6
_cell_length_a 7.622
_cell_length_b 7.622
_cell_length_c 12.710
_cell_angle_alpha 90.00
_cell_angle_beta 90.00
_cell_angle_gamma 90.00
_symmetry_space_group_name_H-M 'I 4/m m m'
_symmetry_Int_Tables_number 139
_symmetry_space_group_name_Hall '-I 4 2'
loop_
_atom_site_label
_atom_site_type_symbol
_atom_site_fract_x
_atom_site_fract_y
_atom_site_fract_z
Cs1 Cs 0.000 0.500 0.250
Sc1 Sc 0.000 0.000 0.000
S1 S 0.000 0.000 0.500
Br1 Br 0.000 0.000 0.207
Br2 Br 0.249 0.249 0.500
```

=====

A geometry-optimized RbNb2Tl structure. Source: Alexandria via LeMat-Bulk, functional PBE-GGA.

Energy of formation = 1.4907 eV/atom
Energy relative to the lowest polymorph listed for this composition = 0 meV per atom
Final energy = -4.3777 eV/atom

Structure (CIF):
```
data_RbNb2Tl
_cell_length_a 7.130
_cell_length_b 7.130
_cell_length_c 7.130
_cell_angle_alpha 90.00
_cell_angle_beta 90.00
_cell_angle_gamma 90.00
_symmetry_space_group_name_H-M 'F m -3 m'
_symmetry_Int_Tables_number 225
_symmetry_space_group_name_Hall '-F 4 2 3'
loop_
_atom_site_label
_atom_site_type_symbol
_atom_site_fract_x
_atom_site_fract_y
_atom_site_fract_z
Rb1 Rb 0.000 0.000 0.000
Nb1 Nb 0.250 0.250 0.250
Tl1 Tl 0.000 0.000 0.500
```

=====

A geometry-optimized Cd3Se structure. Source: Alexandria via LeMat-Bulk, functional PBE-GGA.

E_form (uncorrected) = -20 kJ/mol of formula units
Final energy = -1.6082 eV/atom

Structure (CIF):
```
data_Cd3Se
_cell_length_a 4.047
_cell_length_b 4.047
_cell_length_c 12.312
_cell_angle_alpha 90.00
_cell_angle_beta 90.00
_cell_angle_gamma 90.00
_symmetry_space_group_name_H-M 'I 4/m m m'
_symmetry_Int_Tables_number 139
_symmetry_space_group_name_Hall '-I 4 2'
loop_
_atom_site_label
_atom_site_type_symbol
_atom_site_fract_x
_atom_site_fract_y
_atom_site_fract_z
Cd1 Cd 0.000 0.000 0.000
Cd2 Cd 0.000 0.500 0.250
Se1 Se 0.000 0.000 0.500
```

=====

A geometry-optimized Tm2MgZr3N6 structure. Source: Alexandria via LeMat-Bulk, functional PBE-GGA.

E_form (uncorrected) = -1887 kJ/mol of formula units
Final energy = -8.8080 eV/atom

Structure (CIF):
```
data_Tm2MgZr3N6
_cell_length_a 14.368
_cell_length_b 3.284
_cell_length_c 6.594
_cell_angle_alpha 90.00
_cell_angle_beta 103.81
_cell_angle_gamma 90.00
_symmetry_space_group_name_H-M 'C 1 2/m 1'
_symmetry_Int_Tables_number 12
loop_
_symmetry_equiv_pos_as_xyz
'x,y,z'
'-x,-y,-z'
'-x,y,-z'
'x,-y,z'
'x+1/2,y+1/2,z'
'-x+1/2,-y+1/2,-z'
'-x+1/2,y+1/2,-z'
'x+1/2,-y+1/2,z'
loop_
_atom_site_label
_atom_site_type_symbol
_atom_site_fract_x
_atom_site_fract_y
_atom_site_fract_z
Tm1 Tm 0.164 0.000 0.328
Mg1 Mg 0.000 0.500 0.000
Zr1 Zr 0.000 0.500 0.500
Zr2 Zr 0.164 0.000 0.834
N1 N 0.003 0.000 0.747
N2 N 0.164 0.500 0.589
N3 N 0.167 0.500 0.075
```

=====

A geometry-optimized BaScRePt2 structure. Source: Alexandria via LeMat-Bulk, functional PBE-GGA.

Energy of formation = 0.0364 eV/atom
Energy relative to the lowest polymorph listed for this composition = 0 meV per atom
Final energy = -6.5203 eV/atom

Structure (CIF):
```
data_BaScRePt2
_cell_length_a 5.079
_cell_length_b 5.079
_cell_length_c 4.867
_cell_angle_alpha 90.00
_cell_angle_beta 90.00
_cell_angle_gamma 90.00
_symmetry_space_group_name_H-M 'P 4/m m m'
_symmetry_Int_Tables_number 123
_symmetry_space_group_name_Hall '-P 4 2'
loop_
_atom_site_label
_atom_site_type_symbol
_atom_site_fract_x
_atom_site_fract_y
_atom_site_fract_z
Ba1 Ba 0.000 0.000 0.000
Sc1 Sc 0.500 0.500 0.000
Re1 Re 0.500 0.500 0.500
Pt1 Pt 0.000 0.500 0.500
```

=====

A geometry-optimized YSnB3 structure. Source: Alexandria via LeMat-Bulk, functional PBE-GGA.

Energy of formation = 1.9803 eV/atom
Energy relative to the lowest polymorph listed for this composition = 534 meV per atom
Final energy = -4.1195 eV/atom

Structure (CIF):
```
data_YSnB3
_cell_length_a 4.723
_cell_length_b 4.723
_cell_length_c 4.723
_cell_angle_alpha 90.00
_cell_angle_beta 90.00
_cell_angle_gamma 90.00
_symmetry_space_group_name_H-M 'P m -3 m'
_symmetry_Int_Tables_number 221
_symmetry_space_group_name_Hall '-P 4 2 3'
loop_
_atom_site_label
_atom_site_type_symbol
_atom_site_fract_x
_atom_site_fract_y
_atom_site_fract_z
Y1 Y 0.000 0.000 0.000
Sn1 Sn 0.500 0.500 0.500
B1 B 0.000 0.000 0.500
```